# CaCd3Sn PBE optimized geometry
# E_tot: -7.72 eV for the cell shown
# offset from the most stable computed form: 199.9 kJ/mol of formula units
data_CaCd3Sn
_chemical_formula_sum 'Ca1 Cd3 Sn1'
_symmetry_space_group_name_H-M 'P m -3 m'
_symmetry_Int_Tables_number 221
_symmetry_space_group_name_Hall '-P 4 2 3'
_cell_length_a 5.5881
_cell_length_b 5.5881
_cell_length_c 5.5881
_cell_angle_alpha 90.00
_cell_angle_beta 90.00
_cell_angle_gamma 90.00
loop_
_atom_site_label
_atom_site_type_symbol
_atom_site_fract_x
_atom_site_fract_y
_atom_site_fract_z
Ca1 Ca 0.0000 0.0000 0.0000
Cd1 Cd 0.0000 0.5000 0.5000
Sn1 Sn 0.5000 0.5000 0.5000